# 1
# Hg2MoPt

An optimized crystal structure of Hg2MoPt (PBEsol, Alexandria via LeMat-Bulk).

```
Hg2MoPt
1.0
2.8814 0.0000 0.0000
0.0000 4.9224 0.0000
0.0000 0.0000 4.9224
Hg Mo Pt
2 1 1
direct
0.0000 0.5000 0.0000
0.0000 0.0000 0.5000
0.5000 0.5000 0.5000
0.5000 0.0000 0.0000
```

As for the total magnetization: 0.29 Bohr magnetons per cell. Its volume is 70 Å³/cell. For the energy above the most stable polymorph in this dataset, the calculation gives 302.8 meV/atom. As for the space group: P4/mmm. As for the energy of formation from the pure elements: 0.47 eV/atom.

***

# 2
# HfTaAl2Ga

An optimized crystal structure of HfTaAl2Ga (PBEsol, Alexandria via LeMat-Bulk).

```
HfTaAl2Ga
1.0
4.7879 0.0000 0.0000
0.0000 4.7952 0.0000
0.0000 0.0000 4.7952
Ta Al Ga Hf
1 2 1 1
direct
0.0000 0.0000 0.0000
0.0000 0.0000 0.5000
0.0000 0.5000 0.0000
0.5000 0.0000 0.0000
0.5000 0.5000 0.5000
```

As for the total magnetization: 0.00 Bohr magnetons per cell. Its volume is 110 Å³/cell. As for the space group: P4/mmm. As for the energy of formation from the pure elements: 0.89 eV/atom.

***

# 3
# SrLiAlPd2

An optimized crystal structure of SrLiAlPd2 (PBEsol, Alexandria via LeMat-Bulk).

```
SrLiAlPd2
1.0
4.7270 0.0000 0.0000
0.0000 4.7270 0.0000
0.0000 0.0000 4.7567
Pd Al Li Sr
2 1 1 1
direct
0.0000 0.5000 0.0000
0.5000 0.0000 0.0000
0.0000 0.0000 0.0000
0.0000 0.0000 0.5000
0.5000 0.5000 0.5000
```

As for the total magnetization: 0.00 Bohr magnetons per cell. Its volume is 106 Å³/cell. As for the space group: P4/mmm. As for the energy of formation from the pure elements: -0.29 eV/atom.

***

# 4
# KNb3Cd

An optimized crystal structure of KNb3Cd (PBEsol, Alexandria via LeMat-Bulk).

```
KNb3Cd
1.0
5.1393 0.0000 0.0000
0.0000 5.1393 0.0000
0.0000 0.0000 5.1393
Cd K Nb
1 1 3
direct
0.0000 0.0000 0.0000
0.5000 0.5000 0.5000
0.0000 0.5000 0.0000
0.5000 0.0000 0.0000
0.0000 0.0000 0.5000
```

As for the total magnetization: 1.23 Bohr magnetons per cell. Its volume is 136 Å³/cell. For the energy above the most stable polymorph in this dataset, the calculation gives 0.0 meV/atom. As for the space group: Pm-3m. As for the energy of formation from the pure elements: 2.17 eV/atom.

***

# 5
# MnHg2Ir

An optimized crystal structure of MnHg2Ir (PBEsol, Alexandria via LeMat-Bulk).

```
MnHg2Ir
1.0
4.0226 0.0000 0.0000
0.0000 4.0226 0.0000
-2.0113 -2.0113 4.1398
Hg Mn Ir
2 1 1
direct
0.7500 0.2500 0.5000
0.0000 0.0000 0.0000
0.2500 0.7500 0.5000
0.5000 0.5000 0.0000
```

As for the total magnetization: 4.33 Bohr magnetons per cell. Its volume is 67 Å³/cell. For the energy above the most stable polymorph in this dataset, the calculation gives 137.2 meV/atom. As for the space group: I-4m2. As for the energy of formation from the pure elements: 0.35 eV/atom.

***

# 6
# BaTl4Hg

An optimized crystal structure of BaTl4Hg (PBEsol, Alexandria via LeMat-Bulk).

```
BaTl4Hg
1.0
-0.2778 -4.3627 -4.6323
4.8587 -4.0230 -0.8814
-0.6624 -6.1630 1.4652
Tl Ba Hg
4 1 1
direct
0.3744 0.3744 0.3744
0.8767 0.3744 0.3744
0.3744 0.3744 0.8767
0.3744 0.8767 0.3744
0.7500 0.7500 0.7500
0.0000 0.0000 0.0000
```

As for the total magnetization: 0.00 Bohr magnetons per cell. Its volume is 183 Å³/cell. As for the space group: F-43m. As for the energy of formation from the pure elements: -0.16 eV/atom.